Entry 1:
Density functional theory data (GGA-PBEsol) for an optimized crystal structure of BaLi2Si.

The space group is C2/m (No. 12) and the conventional cell measures 7.9042, 4.5607 and 5.8671 Å, with angles of 90.00, 116.55 and 90.00 degrees. The asymmetric unit holds Ba at (0.0000, 0.0000, 0.0000), Li at (0.1943, 0.0000, 0.5827) and Si at (0.0000, 0.5000, 0.5000).

Its uncorrected formation energy is -255 meV/atom.

Entry 2:
Density functional theory data (GGA-PBEsol) for an optimized crystal structure of Ba3Li4Sn8.

The space group is C2/m (No. 12) and the conventional cell measures 18.3956, 6.6760 and 6.7602 Å, with angles of 90.00, 98.67 and 90.00 degrees. The asymmetric unit holds Ba at (0.0000, 0.0000, 0.0000), Ba at (0.1770, 0.5000, 0.3111), Li at (0.0000, 0.2157, 0.5000), Li at (0.2130, 0.0000, 0.1313), Sn at (0.0161, 0.5000, 0.7972), Sn at (0.1289, 0.0000, 0.4499) and Sn at (0.1512, 0.2632, 0.8046).

The formation energy comes out at -0.547 eV per atom.

Entry 3:
Density functional theory data (GGA-PBEsol) for an optimized crystal structure of BaLi2Sn2.

The space group is I4/mmm (No. 139) and the conventional cell measures 4.8184, 4.8184 and 11.5374 Å, with angles of 90.00, 90.00 and 90.00 degrees. The asymmetric unit holds Ba at (0.0000, 0.0000, 0.0000), Li at (0.0000, 0.5000, 0.2500) and Sn at (0.0000, 0.0000, 0.3787).

The formation energy comes out at -0.507 eV per atom.

Entry 4:
Density functional theory data (GGA-PBEsol) for an optimized crystal structure of Ba2SrLi.

The space group is Cmmm (No. 65) and the conventional cell measures 9.2078, 9.3299 and 4.6570 Å, with angles of 90.00, 90.00 and 90.00 degrees. The asymmetric unit holds Ba at (0.2500, 0.2500, 0.0000), Sr at (0.0000, 0.0000, 0.5000) and Li at (0.0000, 0.5000, 0.5000).

The formation energy comes out at 0.087 eV per atom.

Entry 5:
Density functional theory data (GGA-PBEsol) for an optimized crystal structure of BaSrLi3.

The space group is Pm-3m (No. 221) and the conventional cell measures 5.8448, 5.8448 and 5.8448 Å, with angles of 90.00, 90.00 and 90.00 degrees. The asymmetric unit holds Ba at (0.0000, 0.0000, 0.0000), Sr at (0.5000, 0.5000, 0.5000) and Li at (0.0000, 0.0000, 0.5000).

The formation energy comes out at 0.572 eV per atom.

Entry 6:
Density functional theory data (GGA-PBEsol) for an optimized crystal structure of BaSrLi2.

The space group is Amm2 (No. 38) and the conventional cell measures 5.1858, 4.6943 and 13.1758 Å, with angles of 90.00, 90.00 and 90.00 degrees. The asymmetric unit holds Ba at (0.0000, 0.0000, 0.0000), Sr at (0.5000, 0.0000, 0.7065), Li at (0.0000, 0.0000, 0.2845) and Li at (0.5000, 0.0000, 0.4120).

The formation energy comes out at 0.043 eV per atom.

Entry 7:
Density functional theory data (GGA-PBEsol) for an optimized crystal structure of Ba2SrLi.

The space group is Pmmm (No. 47) and the conventional cell measures 4.7689, 6.3259 and 6.3771 Å, with angles of 90.00, 90.00 and 90.00 degrees. The asymmetric unit holds Ba at (0.0000, 0.0000, 0.0000), Ba at (0.5000, 0.0000, 0.5000), Sr at (0.0000, 0.5000, 0.5000) and Li at (0.5000, 0.5000, 0.0000).

The formation energy comes out at 0.082 eV per atom.

Entry 8:
Density functional theory data (GGA-PBEsol) for an optimized crystal structure of Ba2SrLi.

The space group is P4mm (No. 99) and the conventional cell measures 4.2905, 4.2905 and 10.4222 Å, with angles of 90.00, 90.00 and 90.00 degrees. The asymmetric unit holds Ba at (0.0000, 0.0000, 0.0000), Ba at (0.5000, 0.5000, 0.3110), Sr at (0.5000, 0.5000, 0.7054) and Li at (0.0000, 0.0000, 0.5189).

The formation energy comes out at 0.026 eV per atom.